(1)
Entry from Alexandria via LeMat-Bulk: an optimized crystal structure of TaCu3H (PBE-GGA).

## Properties
The symmetry is Pm-3m (221). The relative energy among the computed polymorphs is 7.74 eV/f.u. As for the crystal system: cubic.

Structure (CIF):
```
data_TaCu3H
_chemical_formula_sum 'Ta1 Cu3 H1'
_cell_length_a 4.9101
_cell_length_b 4.9101
_cell_length_c 4.9101
_cell_angle_alpha 90.00
_cell_angle_beta 90.00
_cell_angle_gamma 90.00
_space_group_name_H-M_alt 'P 1'
_space_group_IT_number 1
_space_group_name_Hall 'P 1'
loop_
_atom_site_label
_atom_site_fract_x
_atom_site_fract_y
_atom_site_fract_z
_atom_site_occupancy
Ta1 0.0000 0.0000 0.0000 1
Cu1 0.0000 0.0000 0.5000 1
Cu2 0.0000 0.5000 0.0000 1
Cu3 0.5000 0.0000 0.0000 1
H1 0.5000 0.5000 0.5000 1
```


(2)
Entry from Alexandria via LeMat-Bulk: an optimized crystal structure of TaCuH3 (PBE-GGA).

## Properties
The symmetry is Pm-3m (221). As for the crystal system: cubic.

Structure (CIF):
```
data_TaCuH3
_chemical_formula_sum 'Ta1 Cu1 H3'
_cell_length_a 3.5748
_cell_length_b 3.5748
_cell_length_c 3.5748
_cell_angle_alpha 90.00
_cell_angle_beta 90.00
_cell_angle_gamma 90.00
_space_group_name_H-M_alt 'P 1'
_space_group_IT_number 1
_space_group_name_Hall 'P 1'
loop_
_atom_site_label
_atom_site_fract_x
_atom_site_fract_y
_atom_site_fract_z
_atom_site_occupancy
Ta1 0.0000 0.0000 0.0000 1
Cu1 0.5000 0.5000 0.5000 1
H1 0.0000 0.0000 0.5000 1
H2 0.0000 0.5000 0.0000 1
H3 0.5000 0.0000 0.0000 1
```


Calculated total DFT energy (no corrections) in order - -3.5224 -4.8347 eV per atom